[1]
Compound: CaAc2AlO6
Source: Alexandria via LeMat-Bulk
Functional: PBE-GGA
Structure: optimized geometry

The calculation puts the electronic total energy at -72.602 eV/cell. The formation energy without anion corrections comes out at -278.8 kJ/mol of atoms. The magnetic moment is 0.00 μB per cell.

The space group is P4mm (No. 99) and the conventional cell measures 5.543, 5.543 and 4.952 Å, with angles of 90.00, 90.00 and 90.00 degrees. Symmetry generates all atoms from Ca at (0.000, 0.000, 0.000), Ac at (0.000, 0.500, 0.450), Al at (0.500, 0.500, 0.012), O at (0.000, 0.000, 0.545), O at (0.273, 0.273, 0.128) and O at (0.500, 0.500, 0.646).



[2]
Compound: CaAcAlO4
Source: Alexandria via LeMat-Bulk
Functional: PBE-GGA
Structure: optimized geometry

The calculation puts the electronic total energy at -103.313 eV/cell. The formation energy without anion corrections comes out at -302.8 kJ/mol of atoms. The magnetic moment is 0.00 μB per cell.

The space group is I4mm (No. 107) and the conventional cell measures 3.749, 3.749 and 12.972 Å, with angles of 90.00, 90.00 and 90.00 degrees. Symmetry generates all atoms from Ca at (0.000, 0.000, 0.000), Ac at (0.000, 0.000, 0.285), Al at (0.000, 0.000, 0.620), O at (0.000, 0.000, 0.478), O at (0.000, 0.000, 0.818) and O at (0.000, 0.500, 0.138).